The following is a DFT calculation (PBEsol) of crystalline TlCd2 at its relaxed geometry.

abc: 3.268 5.060 8.762
angles: 90.00 100.75 90.00
Sites, in units of the cell vectors:
Cd  0.621  0.250  0.241
Cd  0.269  0.250  0.539
Cd  0.379  0.750  0.759
Tl  0.938  0.250  0.877
Tl  0.062  0.750  0.123
Cd  0.731  0.750  0.461

Summary:
D(E_F): 2.47 states/eV per cell
formation energy: 0.060 eV per atom
calculated total energy: -1.614 eV/atom
space group: Cmcm, No. 63
magnetization: 0.00 μB/cell